Material: ScSiRh
Method: DFT, PBE-GGA
State: relaxed

Magnetic moment in Bohr magnetons per cell: 0.00
Raw formation energy in meV/atom: -895
DOS(E_F) in states/eV/f.u.: 1.44
SG: No. 71

a b c (Å): 3.3255 5.6068 10.6090
angles (deg): 90.00 90.00 90.00
Element x y z (fractional)
Sc1 0.0000 0.0000 0.1790
Sc2 0.0000 0.0000 0.8210
Sc3 0.5000 0.5000 0.3210
Sc4 0.5000 0.5000 0.6790
Si1 0.0000 0.5000 0.1166
Si2 0.0000 0.5000 0.8834
Si3 0.5000 0.0000 0.3834
Si4 0.5000 0.0000 0.6166
Rh1 0.0000 0.2450 0.5000
Rh2 0.0000 0.7550 0.5000
Rh3 0.5000 0.2550 0.0000
Rh4 0.5000 0.7450 0.0000

---

Material: ScSi4Rh6
Method: DFT, PBE-GGA
State: relaxed

Magnetic moment in Bohr magnetons per cell: 0.00
Raw formation energy in meV/atom: -951
DOS(E_F) in states/eV/f.u.: 3.87
SG: No. 187

a b c (Å): 7.0201 7.0201 3.7106
angles (deg): 90.00 90.00 120.00
Element x y z (fractional)
Sc1 0.0000 0.0000 0.0000
Si1 0.3333 0.6667 0.0000
Si2 0.3948 0.1974 0.5000
Si3 0.8026 0.1974 0.5000
Si4 0.8026 0.6052 0.5000
Rh1 0.1951 0.3902 0.5000
Rh2 0.1951 0.8049 0.5000
Rh3 0.5333 0.0667 0.0000
Rh4 0.5333 0.4667 0.0000
Rh5 0.6098 0.8049 0.5000
Rh6 0.9333 0.4667 0.0000

---

Material: Sc3Si3Rh
Method: DFT, PBE-GGA
State: relaxed

Magnetic moment in Bohr magnetons per cell: 0.00
Raw formation energy in meV/atom: -951
DOS(E_F) in states/eV/f.u.: 3.96
SG: No. 12

a b c (Å): 5.4121 5.4121 12.8643
angles (deg): 108.76 108.76 43.73
Element x y z (fractional)
Sc1 0.0201 0.0201 0.3745
Sc2 0.1020 0.1020 0.9215
Sc3 0.2392 0.2392 0.2250
Sc4 0.7608 0.7608 0.7750
Sc5 0.8980 0.8980 0.0785
Sc6 0.9799 0.9799 0.6255
Si1 0.3736 0.3736 0.4522
Si2 0.3832 0.3832 0.9258
Si3 0.4633 0.4633 0.7657
Si4 0.5367 0.5367 0.2343
Si5 0.6168 0.6168 0.0742
Si6 0.6264 0.6264 0.5478
Rh1 0.2565 0.2565 0.5894
Rh2 0.7435 0.7435 0.4106

---

Material: ScSiRh
Method: DFT, PBE-GGA
State: relaxed

Magnetic moment in Bohr magnetons per cell: 0.00
Raw formation energy in meV/atom: -1115
DOS(E_F) in states/eV/f.u.: 1.48
SG: No. 62

a b c (Å): 6.5144 4.0701 7.2862
angles (deg): 90.00 90.00 90.00
Element x y z (fractional)
Sc1 0.0099 0.2500 0.1894
Sc2 0.4901 0.7500 0.6894
Sc3 0.5099 0.2500 0.3106
Sc4 0.9901 0.7500 0.8106
Si1 0.2148 0.7500 0.3855
Si2 0.2852 0.2500 0.8855
Si3 0.7148 0.7500 0.1145
Si4 0.7852 0.2500 0.6145
Rh1 0.1564 0.2500 0.5634
Rh2 0.3436 0.7500 0.0634
Rh3 0.6564 0.2500 0.9366
Rh4 0.8436 0.7500 0.4366

---

> Among the records above, which one has the highest raw formation energy?

number 1